Entry 1:
# AlSiRh2

An optimized crystal structure of AlSiRh2 (PBE, Alexandria via LeMat-Bulk).

## Properties
* formation energy from raw total energies: -826.9 meV/atom

abc: 2.8888 3.1976 5.7861
angles: 90.00 90.27 90.00
With the nearest neighbours (Å) after each atom.
Fractional coordinates of all 4 atoms:
Al  0.0000  0.0000  0.0000  8 Rh 2.62-2.63, 2 Al 2.89, 2 Si 2.89
Si  0.0000  0.0000  0.5000  8 Rh 2.56-2.57
Rh  0.4978  0.5000  0.7408  4 Si 2.56-2.57, 4 Al 2.62-2.63, 1 Rh 2.79
Rh  0.5022  0.5000  0.2592  4 Si 2.56-2.57, 4 Al 2.62-2.63, 1 Rh 2.79



Entry 2:
# AgRh3Br

An optimized crystal structure of AgRh3Br (PBE, Alexandria via LeMat-Bulk).

## Properties
* formation energy from raw total energies: 962.6 meV/atom
* relative energy among the computed polymorphs: 0.000 eV/atom

abc: 4.5915 4.5915 4.5915
angles: 90.00 90.00 90.00
With the nearest neighbours (Å) after each atom.
Fractional coordinates of all 5 atoms:
Ag  0.0000  0.0000  0.0000  12 Rh 3.25
Rh  0.0000  0.5000  0.5000  2 Br 2.30
Rh  0.5000  0.0000  0.5000  2 Br 2.30
Rh  0.5000  0.5000  0.0000  2 Br 2.30
Br  0.5000  0.5000  0.5000  6 Rh 2.30



Entry 3:
# KNa2ZnRu

An optimized crystal structure of KNa2ZnRu (PBE, Alexandria via LeMat-Bulk).

## Properties
* E_form: 1.411 eV per atom

abc: 5.4254 5.4254 4.8255
angles: 90.00 90.00 90.00
With the nearest neighbours (Å) after each atom.
Fractional coordinates of all 5 atoms:
K  0.0000  0.0000  0.0000  2 Ru 2.41
Na  0.0000  0.5000  0.0000  2 K 2.71
Na  0.5000  0.0000  0.0000  2 K 2.71
Zn  0.5000  0.5000  0.5000  8 Na 3.63, 4 Ru 3.84
Ru  0.0000  0.0000  0.5000  2 K 2.41



Entry 4:
# Co7Ru

An optimized crystal structure of Co7Ru (PBE, Alexandria via LeMat-Bulk).

## Properties
* E_form: 0.099 eV per atom

abc: 5.0408 5.0408 5.0408
angles: 60.00 60.00 60.00
With the nearest neighbours (Å) after each atom.
Fractional coordinates of all 8 atoms:
Co  0.0000  0.0000  0.0000  12 Co 2.52
Co  0.0000  0.0000  0.5000  10 Co 2.52, 2 Ru 2.52
Co  0.0000  0.5000  0.0000  10 Co 2.52, 2 Ru 2.52
Co  0.0000  0.5000  0.5000  10 Co 2.52, 2 Ru 2.52
Co  0.5000  0.0000  0.0000  10 Co 2.52, 2 Ru 2.52
Co  0.5000  0.0000  0.5000  10 Co 2.52, 2 Ru 2.52
Co  0.5000  0.5000  0.0000  10 Co 2.52, 2 Ru 2.52
Ru  0.5000  0.5000  0.5000  12 Co 2.52



Entry 5:
# La4Tb8Ce

An optimized crystal structure of La4Tb8Ce (PBE, Alexandria via LeMat-Bulk).

## Properties
* E_form: 0.531 eV per atom

abc: 7.8327 7.8327 7.8327
angles: 90.23 90.23 90.23
With the nearest neighbours (Å) after each atom.
Fractional coordinates of all 13 atoms:
La  0.0000  0.0000  0.0000  8 Tb 3.26-3.28
La  0.0000  0.5000  0.5000  8 Tb 3.43-3.44
La  0.5000  0.0000  0.5000  8 Tb 3.43-3.44
La  0.5000  0.5000  0.0000  8 Tb 3.43-3.44
Tb  0.2404  0.2404  0.7571  4 La 3.28-3.43, 1 Ce 3.51
Tb  0.2404  0.7571  0.2404  4 La 3.28-3.43, 1 Ce 3.51
Tb  0.2412  0.2412  0.2412  4 La 3.26-3.44, 1 Ce 3.50
Tb  0.2429  0.7596  0.7596  4 La 3.28-3.43, 1 Ce 3.51
Tb  0.7571  0.2404  0.2404  4 La 3.28-3.43, 1 Ce 3.51
Tb  0.7588  0.7588  0.7588  4 La 3.26-3.44, 1 Ce 3.50
Tb  0.7596  0.2429  0.7596  4 La 3.28-3.43, 1 Ce 3.51
Tb  0.7596  0.7596  0.2429  4 La 3.28-3.43, 1 Ce 3.51
Ce  0.5000  0.5000  0.5000  8 Tb 3.50-3.51, 6 La 3.92



Entry 6:
# Y3TaH

An optimized crystal structure of Y3TaH (PBE, Alexandria via LeMat-Bulk).

## Properties
* relative energy among the computed polymorphs: 1.004 eV/atom

abc: 5.5220 5.5220 5.5220
angles: 90.00 90.00 90.00
With the nearest neighbours (Å) after each atom.
Fractional coordinates of all 5 atoms:
Y  0.0000  0.0000  0.5000  2 Ta 2.76
Y  0.0000  0.5000  0.0000  2 Ta 2.76
Y  0.5000  0.0000  0.0000  2 Ta 2.76
Ta  0.0000  0.0000  0.0000  6 Y 2.76
H  0.5000  0.5000  0.5000  12 Y 3.90



Computed V, in the same sequence as the records: 13.362; 19.360; 28.408; 11.321; 36.963; 33.676 Å³ per atom.